DFT (PBE-GGA) results for a relaxed structure of KTe4Au. Values from VASP.

Summary:
- crystal system = cubic
- energy relative to the lowest polymorph listed for this composition (kJ/mol of formula units) = 224.1
- space-group type = No. 216
- size of the total moment (μB per formula unit) = 0.0

The structure in Quantum ESPRESSO input format:
```
&SYSTEM
  ibrav = 0, nat = 6, ntyp = 3
/
ATOMIC_SPECIES
K 39.10 K.upf
Te 127.60 Te.upf
Au 196.97 Au.upf
CELL_PARAMETERS angstrom
0.0000 4.5667 4.5667
4.5667 0.0000 4.5667
4.5667 4.5667 0.0000
ATOMIC_POSITIONS crystal
K 0.0000 0.0000 0.0000
Te 0.1308 0.6231 0.6231
Te 0.6231 0.1308 0.6231
Te 0.6231 0.6231 0.1308
Te 0.6231 0.6231 0.6231
Au 0.2500 0.2500 0.2500
```

DFT (PBE-GGA) results for a relaxed structure of Sm7Y3Sc2. Values from VASP.

Summary:
- crystal system = trigonal
- space-group type = No. 166
- size of the total moment (μB per formula unit) = 0.0
- formation energy (meV/atom) = 279

The structure in Quantum ESPRESSO input format:
```
&SYSTEM
  ibrav = 0, nat = 12, ntyp = 3
/
ATOMIC_SPECIES
Sm 150.36 Sm.upf
Y 88.91 Y.upf
Sc 44.96 Sc.upf
CELL_PARAMETERS angstrom
3.2646 1.8848 10.8614
-3.2646 1.8848 10.8614
0.0000 -3.7696 10.8614
ATOMIC_POSITIONS crystal
Sm 0.0000 0.0000 0.0000
Sm 0.0851 0.0851 0.5765
Sm 0.0851 0.5765 0.0851
Sm 0.4235 0.9149 0.9149
Sm 0.5765 0.0851 0.0851
Sm 0.9149 0.4235 0.9149
Sm 0.9149 0.9149 0.4235
Y 0.3499 0.3499 0.3499
Y 0.5000 0.5000 0.5000
Y 0.6501 0.6501 0.6501
Sc 0.1660 0.1660 0.1660
Sc 0.8340 0.8340 0.8340
```

DFT (PBE-GGA) results for a relaxed structure of CuSICl2. Values from VASP.

Summary:
- crystal system = tetragonal
- energy relative to the lowest polymorph listed for this composition (kJ/mol of formula units) = 0.0
- space-group type = No. 123
- size of the total moment (μB per formula unit) = 0.0

The structure in Quantum ESPRESSO input format:
```
&SYSTEM
  ibrav = 0, nat = 5, ntyp = 4
/
ATOMIC_SPECIES
Cu 63.55 Cu.upf
S 32.06 S.upf
I 126.90 I.upf
Cl 35.45 Cl.upf
CELL_PARAMETERS angstrom
4.4724 0.0000 0.0000
0.0000 4.4724 0.0000
0.0000 0.0000 5.6049
ATOMIC_POSITIONS crystal
Cu 0.0000 0.0000 0.0000
S 0.0000 0.0000 0.5000
I 0.5000 0.5000 0.5000
Cl 0.0000 0.5000 0.0000
Cl 0.5000 0.0000 0.0000
```

DFT (PBE-GGA) results for a relaxed structure of Ce4PuRh2. Values from VASP.

Summary:
- crystal system = triclinic
- energy relative to the lowest polymorph listed for this composition (kJ/mol of formula units) = 0.0
- space-group type = No. 1
- size of the total moment (μB per formula unit) = 1.4
- formation energy (meV/atom) = -354

The structure in Quantum ESPRESSO input format:
```
&SYSTEM
  ibrav = 0, nat = 14, ntyp = 3
/
ATOMIC_SPECIES
Ce 140.12 Ce.upf
Pu 244.00 Pu.upf
Rh 102.91 Rh.upf
CELL_PARAMETERS angstrom
7.1866 0.0000 0.0000
2.4228 6.8385 0.0000
2.4361 0.1122 6.8415
ATOMIC_POSITIONS crystal
Ce 0.0000 0.0000 0.0000
Ce 0.0024 0.4974 0.4865
Ce 0.1402 0.9616 0.4649
Ce 0.1834 0.4386 0.9274
Ce 0.5273 0.9438 0.9826
Ce 0.5314 0.4831 0.4329
Ce 0.6151 0.9749 0.4736
Ce 0.6821 0.4763 0.9623
Pu 0.1516 0.2056 0.7011
Pu 0.7137 0.1928 0.6856
Rh 0.2512 0.6945 0.1900
Rh 0.3997 0.7329 0.7389
Rh 0.4016 0.2432 0.2273
Rh 0.8296 0.6928 0.1857
```

DFT (PBE-GGA) results for a relaxed structure of AcPr2HgN. Values from VASP.

Summary:
- crystal system = tetragonal
- space-group type = No. 123
- size of the total moment (μB per formula unit) = 0.0
- E_tot (eV/atom) = -5.1315

The structure in Quantum ESPRESSO input format:
```
&SYSTEM
  ibrav = 0, nat = 5, ntyp = 4
/
ATOMIC_SPECIES
Ac 227.00 Ac.upf
Pr 140.91 Pr.upf
Hg 200.59 Hg.upf
N 14.01 N.upf
CELL_PARAMETERS angstrom
5.0969 0.0000 0.0000
0.0000 5.0969 0.0000
0.0000 0.0000 5.2961
ATOMIC_POSITIONS crystal
Ac 0.0000 0.0000 0.0000
Pr 0.0000 0.5000 0.5000
Pr 0.5000 0.0000 0.5000
Hg 0.5000 0.5000 0.0000
N 0.0000 0.0000 0.5000
```

DFT (PBE-GGA) results for a relaxed structure of AsIr2Ru. Values from VASP.

Summary:
- crystal system = orthorhombic
- space-group type = No. 38
- size of the total moment (μB per formula unit) = 0.0
- formation energy (meV/atom) = 78

The structure in Quantum ESPRESSO input format:
```
&SYSTEM
  ibrav = 0, nat = 4, ntyp = 3
/
ATOMIC_SPECIES
As 74.92 As.upf
Ir 192.22 Ir.upf
Ru 101.07 Ru.upf
CELL_PARAMETERS angstrom
3.9215 0.0000 0.0000
0.0000 1.4171 5.2957
0.0000 -1.4171 5.2957
ATOMIC_POSITIONS crystal
As 0.0000 0.0000 0.0000
Ir 0.0000 0.7682 0.7682
Ir 0.5000 0.1467 0.1467
Ru 0.5000 0.4049 0.4049
```